Record 1
Below is crystalline Li3In4 at its relaxed geometry, with properties calculated at the PBE level.

## Properties
The calculation puts the mass density at 5.4 g cm⁻³. As for the density of states at the Fermi level: 0.3497 states/eV per atom. The distance to the lowest polymorph of the same formula is 0.0 kJ per mole of atoms. The total magnetization is 0.0 μB/f.u.

abc: 4.7240 4.7240 8.1080
angles: 73.06 73.06 60.00
Atoms (fractional coordinates):
Li 0.2538 0.2538 0.2386
Li 0.7462 0.7462 0.7614
Li 0.0000 0.0000 0.0000
In 0.6189 0.6189 0.1434
In 0.8710 0.8710 0.3870
In 0.1290 0.1290 0.6130
In 0.3811 0.3811 0.8566

=====

Record 2
Below is crystalline LiIn2 at its relaxed geometry, with properties calculated at the PBE level.

## Properties
The calculation puts the mass density at 5.8 g cm⁻³. As for the density of states at the Fermi level: 0.2586 states/eV per atom. The total magnetization is 0.0 μB/f.u.

abc: 4.5357 6.3797 9.3104
angles: 90.00 90.00 90.00
Atoms (fractional coordinates):
In 0.2500 0.1042 0.7627
In 0.7500 0.3958 0.2627
In 0.2500 0.6042 0.7373
In 0.7500 0.8958 0.2373
In 0.2500 0.1468 0.4254
In 0.7500 0.3532 0.9254
In 0.2500 0.6468 0.0746
In 0.7500 0.8532 0.5746
Li 0.2500 0.6359 0.4058
Li 0.7500 0.8641 0.9058
Li 0.2500 0.1359 0.0942
Li 0.7500 0.3641 0.5942

=====

Record 3
Below is crystalline Li4In at its relaxed geometry, with properties calculated at the PBE level.

## Properties
The calculation puts the mass density at 1.7 g cm⁻³. As for the density of states at the Fermi level: 0.6436 states/eV per atom. The distance to the lowest polymorph of the same formula is 35.7 kJ per mole of atoms. The total magnetization is 0.0 μB/f.u.

abc: 5.2011 5.2011 5.2011
angles: 90.00 90.00 90.00
Atoms (fractional coordinates):
Li 0.0000 0.0000 0.0000
Li 0.5000 0.0000 0.5000
Li 0.0000 0.5000 0.5000
Li 0.5000 0.5000 0.0000
In 0.5000 0.5000 0.5000

=====

Number 1: raw total energy -2.5834 eV per atom. Number 2: raw total energy -2.6489 eV per atom. Number 3: raw total energy -1.9171 eV per atom.